1.
Entry from Alexandria: LiCa4 after structural relaxation (PBE-GGA).

* DOS(E_F): 4.61 states/eV per cell
* space group: I4/mmm, No. 139
* total DFT energy (no corrections): -1.98 eV per atom
* relative energy among the computed polymorphs: 0 meV/atom
* formation energy from the elements: 0.007 eV per atom

a = 12.1437 Å, b = 12.1437 Å, c = 12.1437 Å
α = 161.07°, β = 161.07°, γ = 26.90°
Fractional coordinates of all 5 atoms:
Li: 0.0000 0.0000 0.0000
Ca: 0.1942 0.1942 0.0000
Ca: 0.4180 0.4180 0.0000
Ca: 0.5820 0.5820 0.0000
Ca: 0.8058 0.8058 0.0000

---

2.
Entry from Alexandria: AcSbRh after structural relaxation (PBE-GGA).

* DOS(E_F): 6.92 states/eV per cell
* space group: Cmcm, No. 63
* total DFT energy (no corrections): -6.13 eV per atom
* relative energy among the computed polymorphs: 0 meV/atom
* formation energy from raw total energies: -0.93 eV per atom

a = 4.5677 Å, b = 4.5677 Å, c = 8.9935 Å
α = 90.00°, β = 90.00°, γ = 119.90°
Fractional coordinates of all 6 atoms:
Ac: 0.0000 0.0000 0.0000
Ac: 0.0000 0.0000 0.5000
Sb: 0.3337 0.6663 0.7500
Sb: 0.6663 0.3337 0.2500
Rh: 0.3326 0.6674 0.2500
Rh: 0.6674 0.3326 0.7500

---

3.
Entry from Alexandria: HfScIN2 after structural relaxation (PBE-GGA).

* DOS(E_F): 5.25 states/eV per cell
* space group: P4/mmm, No. 123
* total DFT energy (no corrections): -6.21 eV per atom
* relative energy among the computed polymorphs: 629 meV/atom
* formation energy from raw total energies: 0.69 eV per atom

a = 4.1904 Å, b = 4.1904 Å, c = 5.3606 Å
α = 90.00°, β = 90.00°, γ = 90.00°
Fractional coordinates of all 5 atoms:
Hf: 0.0000 0.0000 0.0000
Sc: 0.5000 0.5000 0.5000
I: 0.5000 0.5000 0.0000
N: 0.0000 0.5000 0.5000
N: 0.5000 0.0000 0.5000

---

4.
Entry from Alexandria: TbPuInRh after structural relaxation (PBE-GGA).

* DOS(E_F): 8.70 states/eV per cell
* space group: F-43m, No. 216
* total DFT energy (no corrections): -7.57 eV per atom
* formation energy from the elements: -0.305 eV per atom

a = 5.1150 Å, b = 5.1150 Å, c = 5.1150 Å
α = 60.00°, β = 60.00°, γ = 60.00°
Fractional coordinates of all 4 atoms:
Tb: 0.0000 0.0000 0.0000
Pu: 0.5000 0.5000 0.5000
In: 0.7500 0.7500 0.7500
Rh: 0.2500 0.2500 0.2500

---

5.
Entry from Alexandria: Ac2CoPb after structural relaxation (PBE-GGA).

* DOS(E_F): 2.80 states/eV per cell
* space group: P4/mmm, No. 123
* total DFT energy (no corrections): -4.89 eV per atom
* formation energy from the elements: -0.129 eV per atom

a = 3.7027 Å, b = 3.7027 Å, c = 8.7273 Å
α = 90.00°, β = 90.00°, γ = 90.00°
Fractional coordinates of all 4 atoms:
Ac: 0.0000 0.0000 0.2043
Ac: 0.0000 0.0000 0.7957
Co: 0.5000 0.5000 0.0000
Pb: 0.5000 0.5000 0.5000

---

6.
Entry from Alexandria: AcScRh2 after structural relaxation (PBE-GGA).

* DOS(E_F): 4.23 states/eV per cell
* space group: Fm-3m, No. 225
* total DFT energy (no corrections): -6.88 eV per atom
* relative energy among the computed polymorphs: 60 meV/atom
* formation energy from the elements: -0.593 eV per atom

a = 4.9346 Å, b = 4.9346 Å, c = 4.9346 Å
α = 60.00°, β = 60.00°, γ = 60.00°
Fractional coordinates of all 4 atoms:
Ac: 0.0000 0.0000 0.0000
Sc: 0.5000 0.5000 0.5000
Rh: 0.2500 0.2500 0.2500
Rh: 0.7500 0.7500 0.7500

---

7.
Entry from Alexandria: Rb3Y2ThTe6 after structural relaxation (PBE-GGA).

* DOS(E_F): 4.84 states/eV per cell
* space group: C2/m, No. 12
* total DFT energy (no corrections): -4.82 eV per atom
* formation energy from raw total energies: -1.32 eV per atom

a = 7.8306 Å, b = 7.8306 Å, c = 9.0158 Å
α = 98.32°, β = 98.32°, γ = 120.00°
Fractional coordinates of all 12 atoms:
Rb: 0.0000 0.0000 0.0000
Rb: 0.3340 0.6660 0.0000
Rb: 0.6660 0.3340 0.0000
Y: 0.1667 0.8333 0.5000
Y: 0.8333 0.1667 0.5000
Th: 0.5000 0.5000 0.5000
Te: 0.0956 0.4321 0.2964
Te: 0.2312 0.2312 0.7034
Te: 0.4321 0.0956 0.2964
Te: 0.5679 0.9044 0.7036
Te: 0.7688 0.7688 0.2966
Te: 0.9044 0.5679 0.7036

---

8.
Entry from Alexandria: CeZn3P3 after structural relaxation (PBE-GGA).

* DOS(E_F): 10.41 states/eV per cell
* space group: P6_3/mmc, No. 194
* total DFT energy (no corrections): -4.29 eV per atom
* relative energy among the computed polymorphs: 0 meV/atom
* formation energy from the elements: -0.579 eV per atom

a = 4.0387 Å, b = 4.0387 Å, c = 19.9119 Å
α = 90.00°, β = 90.00°, γ = 120.00°
Fractional coordinates of all 14 atoms:
Ce: 0.0000 0.0000 0.0000
Ce: 0.0000 0.0000 0.5000
Zn: 0.3333 0.6667 0.1286
Zn: 0.3333 0.6667 0.3714
Zn: 0.3333 0.6667 0.7500
Zn: 0.6667 0.3333 0.2500
Zn: 0.6667 0.3333 0.6286
Zn: 0.6667 0.3333 0.8714
P: 0.3333 0.6667 0.2500
P: 0.3333 0.6667 0.5865
P: 0.3333 0.6667 0.9135
P: 0.6667 0.3333 0.0865
P: 0.6667 0.3333 0.4135
P: 0.6667 0.3333 0.7500

---

9.
Entry from Alexandria: Zn2CrRh after structural relaxation (PBE-GGA).

* DOS(E_F): 1.83 states/eV per cell
* space group: P4/mmm, No. 123
* total DFT energy (no corrections): -4.97 eV per atom
* relative energy among the computed polymorphs: 44 meV/atom
* formation energy from the elements: -0.089 eV per atom

a = 3.9401 Å, b = 3.9401 Å, c = 3.6848 Å
α = 90.00°, β = 90.00°, γ = 90.00°
Fractional coordinates of all 4 atoms:
Zn: 0.0000 0.5000 0.0000
Zn: 0.5000 0.0000 0.0000
Cr: 0.0000 0.0000 0.5000
Rh: 0.5000 0.5000 0.5000

---

10.
Entry from Alexandria: Ba4NaTl after structural relaxation (PBE-GGA).

* DOS(E_F): 7.71 states/eV per cell
* space group: P4/mmm, No. 123
* total DFT energy (no corrections): -2.03 eV per atom
* relative energy among the computed polymorphs: 0 meV/atom
* formation energy from the elements: -0.134 eV per atom

a = 4.3547 Å, b = 4.3547 Å, c = 16.3855 Å
α = 90.00°, β = 90.00°, γ = 90.00°
Fractional coordinates of all 6 atoms:
Ba: 0.0000 0.0000 0.1229
Ba: 0.0000 0.0000 0.8771
Ba: 0.5000 0.5000 0.3376
Ba: 0.5000 0.5000 0.6624
Na: 0.0000 0.0000 0.5000
Tl: 0.5000 0.5000 0.0000

---

11.
Entry from Alexandria: Ga6CoPt3 after structural relaxation (PBE-GGA).

* DOS(E_F): 7.82 states/eV per cell
* space group: P2_1/c, No. 14
* total DFT energy (no corrections): -4.75 eV per atom
* formation energy from the elements: -0.414 eV per atom

a = 6.6071 Å, b = 6.1536 Å, c = 9.9699 Å
α = 90.00°, β = 123.60°, γ = 90.00°
Fractional coordinates of all 20 atoms:
Ga: 0.0876 0.1529 0.4330
Ga: 0.0876 0.3471 0.9330
Ga: 0.2518 0.6511 0.4164
Ga: 0.2518 0.8489 0.9164
Ga: 0.4041 0.5312 0.7198
Ga: 0.4041 0.9688 0.2198
Ga: 0.5959 0.0312 0.7802
Ga: 0.5959 0.4688 0.2802
Ga: 0.7482 0.1511 0.0836
Ga: 0.7482 0.3489 0.5836
Ga: 0.9124 0.6529 0.0670
Ga: 0.9124 0.8471 0.5670
Co: 0.0000 0.0000 0.0000
Co: 0.0000 0.5000 0.5000
Pt: 0.1998 0.1686 0.7335
Pt: 0.1998 0.3314 0.2335
Pt: 0.5000 0.0000 0.5000
Pt: 0.5000 0.5000 0.0000
Pt: 0.8002 0.6686 0.7665
Pt: 0.8002 0.8314 0.2665

---

12.
Entry from Alexandria: Sr2MgCd6Sn after structural relaxation (PBE-GGA).

* DOS(E_F): 4.35 states/eV per cell
* space group: P-1, No. 2
* total DFT energy (no corrections): -1.66 eV per atom
* formation energy from the elements: -0.214 eV per atom

a = 5.8754 Å, b = 7.5031 Å, c = 7.5992 Å
α = 94.74°, β = 112.57°, γ = 112.75°
Fractional coordinates of all 10 atoms:
Sr: 0.2381 0.2484 0.2272
Sr: 0.7619 0.7516 0.7728
Mg: 0.0000 0.5000 0.5000
Cd: 0.1861 0.1887 0.6758
Cd: 0.2455 0.5578 0.9345
Cd: 0.3184 0.8087 0.3260
Cd: 0.6816 0.1913 0.6740
Cd: 0.7545 0.4422 0.0655
Cd: 0.8139 0.8113 0.3242
Sn: 0.5000 0.0000 0.0000

---

13.
Entry from Alexandria: ScAsP2 after structural relaxation (PBE-GGA).

* DOS(E_F): 0.43 states/eV per cell
* space group: C2/m, No. 12
* total DFT energy (no corrections): -5.93 eV per atom
* formation energy from the elements: -0.483 eV per atom

a = 5.5267 Å, b = 5.5267 Å, c = 4.1235 Å
α = 99.02°, β = 99.02°, γ = 37.79°
Fractional coordinates of all 4 atoms:
Sc: 0.0000 0.0000 0.0000
As: 0.5000 0.5000 0.5000
P: 0.2604 0.2604 0.1792
P: 0.7396 0.7396 0.8208

---

14.
Entry from Alexandria: Np2GaSi after structural relaxation (PBE-GGA).

* DOS(E_F): 7.62 states/eV per cell
* space group: P4/mmm, No. 123
* total DFT energy (no corrections): -8.58 eV per atom
* formation energy from raw total energies: 0.01 eV per atom

a = 3.8734 Å, b = 3.8734 Å, c = 4.8661 Å
α = 90.00°, β = 90.00°, γ = 90.00°
Fractional coordinates of all 4 atoms:
Np: 0.0000 0.0000 0.2472
Np: 0.0000 0.0000 0.7528
Ga: 0.5000 0.5000 0.5000
Si: 0.5000 0.5000 0.0000

---

15.
Entry from Alexandria: Eu2TmCl after structural relaxation (PBE-GGA).

* DOS(E_F): 8.35 states/eV per cell
* space group: R-3m, No. 166
* total DFT energy (no corrections): -7.47 eV per atom
* formation energy from raw total energies: -0.76 eV per atom

a = 10.5945 Å, b = 10.5945 Å, c = 10.5945 Å
α = 20.57°, β = 20.57°, γ = 20.57°
Fractional coordinates of all 4 atoms:
Eu: 0.2373 0.2373 0.2373
Eu: 0.7627 0.7627 0.7627
Tm: 0.0000 0.0000 0.0000
Cl: 0.5000 0.5000 0.5000

---

16.
Entry from Alexandria: Ta5Ti2 after structural relaxation (PBE-GGA).

* DOS(E_F): 12.06 states/eV per cell
* space group: I4/mmm, No. 139
* total DFT energy (no corrections): -10.68 eV per atom
* formation energy from the elements: 0.045 eV per atom

a = 11.7938 Å, b = 11.7938 Å, c = 11.7938 Å
α = 163.92°, β = 163.92°, γ = 22.81°
Fractional coordinates of all 7 atoms:
Ta: 0.0000 0.0000 0.0000
Ta: 0.1440 0.1440 0.0000
Ta: 0.4269 0.4269 0.0000
Ta: 0.5731 0.5731 0.0000
Ta: 0.8560 0.8560 0.0000
Ti: 0.2871 0.2871 0.0000
Ti: 0.7129 0.7129 0.0000

---

17.
Entry from Alexandria: PaZnRh after structural relaxation (PBE-GGA).

* DOS(E_F): 19.34 states/eV per cell
* space group: P2_1/m, No. 11
* total DFT energy (no corrections): -6.64 eV per atom
* formation energy from the elements: -0.600 eV per atom

a = 7.2255 Å, b = 3.8659 Å, c = 12.2748 Å
α = 90.00°, β = 90.21°, γ = 90.00°
Fractional coordinates of all 18 atoms:
Pa: 0.0541 0.2500 0.3756
Pa: 0.1704 0.2500 0.0813
Pa: 0.4384 0.7500 0.7135
Pa: 0.5616 0.2500 0.2865
Pa: 0.8296 0.7500 0.9187
Pa: 0.9459 0.7500 0.6244
Zn: 0.1114 0.2500 0.7963
Zn: 0.3818 0.7500 0.4588
Zn: 0.4922 0.2500 0.9179
Zn: 0.5078 0.7500 0.0821
Zn: 0.6182 0.2500 0.5412
Zn: 0.8886 0.7500 0.2037
Rh: 0.2335 0.2500 0.5872
Rh: 0.2341 0.7500 0.9241
Rh: 0.2633 0.7500 0.2495
Rh: 0.7367 0.2500 0.7505
Rh: 0.7659 0.2500 0.0759
Rh: 0.7665 0.7500 0.4128

---

18.
Entry from Alexandria: TaIn2Te after structural relaxation (PBE-GGA).

* DOS(E_F): 4.58 states/eV per cell
* space group: Fm-3m, No. 225
* total DFT energy (no corrections): -4.34 eV per atom
* relative energy among the computed polymorphs: 703 meV/atom
* formation energy from raw total energies: 0.78 eV per atom

a = 5.1623 Å, b = 5.1623 Å, c = 5.1623 Å
α = 60.00°, β = 60.00°, γ = 60.00°
Fractional coordinates of all 4 atoms:
Ta: 0.0000 0.0000 0.0000
In: 0.2500 0.2500 0.2500
In: 0.7500 0.7500 0.7500
Te: 0.5000 0.5000 0.5000

---

19.
Entry from Alexandria: V4GaSe8 after structural relaxation (PBE-GGA).

* DOS(E_F): 1.84 states/eV per cell
* space group: F-43m, No. 216
* total DFT energy (no corrections): -5.92 eV per atom
* formation energy from raw total energies: -0.74 eV per atom

a = 7.2348 Å, b = 7.2348 Å, c = 7.2348 Å
α = 60.00°, β = 60.00°, γ = 60.00°
Fractional coordinates of all 13 atoms:
V: 0.1040 0.1040 0.1040
V: 0.1040 0.1040 0.6881
V: 0.1040 0.6881 0.1040
V: 0.6881 0.1040 0.1040
Ga: 0.5000 0.5000 0.5000
Se: 0.3622 0.3622 0.3622
Se: 0.3622 0.3622 0.9133
Se: 0.3622 0.9133 0.3622
Se: 0.3942 0.8686 0.8686
Se: 0.8686 0.3942 0.8686
Se: 0.8686 0.8686 0.3942
Se: 0.8686 0.8686 0.8686
Se: 0.9133 0.3622 0.3622

---

20.
Entry from Alexandria: KBaLi2 after structural relaxation (PBE-GGA).

* DOS(E_F): 6.87 states/eV per cell
* space group: I-42d, No. 122
* total DFT energy (no corrections): -1.46 eV per atom
* relative energy among the computed polymorphs: 152 meV/atom
* formation energy from the elements: 0.253 eV per atom

a = 7.8344 Å, b = 7.8344 Å, c = 7.8344 Å
α = 103.94°, β = 103.94°, γ = 121.21°
Fractional coordinates of all 8 atoms:
K: 0.0000 0.0000 0.0000
K: 0.7500 0.2500 0.5000
Ba: 0.2500 0.7500 0.5000
Ba: 0.5000 0.5000 0.0000
Li: 0.1080 0.6250 0.9830
Li: 0.3750 0.3580 0.4830
Li: 0.6420 0.1250 0.0170
Li: 0.8750 0.8920 0.5170